No. 1
Compound: Tb6Tm12Pb
Source: Alexandria
Functional: PBE-GGA
Structure: optimized geometry Values from VASP.

Computed properties:
The total energy comes out at -4.4145 eV per atom. Its space group is No. 148.

Geometry as Quantum ESPRESSO input:
```
&SYSTEM
  ibrav = 0, nat = 19, ntyp = 3
/
ATOMIC_SPECIES
Tb 158.93 Tb.upf
Tm 168.93 Tm.upf
Pb 207.20 Pb.upf
CELL_PARAMETERS angstrom
5.8592 3.3828 4.9474
-5.8592 3.3828 4.9474
0.0000 -6.7656 4.9474
ATOMIC_POSITIONS crystal
Tb 0.1906 0.7559 0.5913
Tb 0.2441 0.4087 0.8094
Tb 0.4087 0.8094 0.2441
Tb 0.5913 0.1906 0.7559
Tb 0.7559 0.5913 0.1906
Tb 0.8094 0.2441 0.4087
Tm 0.0433 0.9329 0.2748
Tm 0.0671 0.7252 0.9567
Tm 0.1407 0.4917 0.3003
Tm 0.2748 0.0433 0.9329
Tm 0.3003 0.1407 0.4917
Tm 0.4917 0.3003 0.1407
Tm 0.5083 0.6997 0.8593
Tm 0.6997 0.8593 0.5083
Tm 0.7252 0.9567 0.0671
Tm 0.8593 0.5083 0.6997
Tm 0.9329 0.2748 0.0433
Tm 0.9567 0.0671 0.7252
Pb 0.5000 0.5000 0.5000
```

=====

No. 2
Compound: Tb2TmPb
Source: Alexandria
Functional: PBE-GGA
Structure: optimized geometry Values from VASP.

Computed properties:
Its energy above the most stable polymorph in this dataset is 0.3152 eV/atom. Its space group is No. 166.

Geometry as Quantum ESPRESSO input:
```
&SYSTEM
  ibrav = 0, nat = 12, ntyp = 3
/
ATOMIC_SPECIES
Tb 158.93 Tb.upf
Tm 168.93 Tm.upf
Pb 207.20 Pb.upf
CELL_PARAMETERS angstrom
3.5256 0.0000 0.0000
-1.7628 3.0532 0.0000
0.0000 0.0000 36.0145
ATOMIC_POSITIONS crystal
Tb 0.0000 0.0000 0.0886
Tb 0.0000 0.0000 0.9114
Tb 0.3333 0.6667 0.5781
Tb 0.3333 0.6667 0.7552
Tb 0.6667 0.3333 0.2448
Tb 0.6667 0.3333 0.4219
Tm 0.0000 0.0000 0.5000
Tm 0.3333 0.6667 0.1667
Tm 0.6667 0.3333 0.8333
Pb 0.0000 0.0000 0.0000
Pb 0.3333 0.6667 0.6667
Pb 0.6667 0.3333 0.3333
```